Record 1
# CaCu (PBE-GGA, relaxed)
data_CaCu
_cell_length_a 7.3204
_cell_length_b 7.3204
_cell_length_c 3.9669
_cell_angle_alpha 90.00
_cell_angle_beta 90.00
_cell_angle_gamma 120.00
_space_group_name_H-M_alt 'P 6/m m m'
_space_group_IT_number 191
_space_group_name_Hall '-P 6 2'
loop_
_atom_site_label
_atom_site_fract_x
_atom_site_fract_y
_atom_site_fract_z
Ca1 0.0000 0.5000 0.0000
Cu1 0.0000 0.0000 0.0000
Cu2 0.3333 0.6667 0.5000
# - total magnetic moment (μB/f.u.) = 0.00
# - raw total energy (eV/atom) = -2.67
# - calculated volume (Å³ per cell) = 184
# - D(E_F) (states/eV per atom) = 0.549



Record 2
# CaCu3 (PBE-GGA, relaxed)
data_CaCu3
_cell_length_a 8.048
_cell_length_b 10.087
_cell_length_c 3.793
_cell_angle_alpha 90.00
_cell_angle_beta 90.00
_cell_angle_gamma 90.00
_space_group_name_H-M_alt 'C m c m'
_space_group_IT_number 63
_space_group_name_Hall '-C 2c 2'
loop_
_atom_site_label
_atom_site_fract_x
_atom_site_fract_y
_atom_site_fract_z
Ca1 0.000 0.145 0.250
Cu1 0.000 0.429 0.250
Cu2 0.157 0.320 0.750
# - total magnetic moment (μB/f.u.) = 0.00
# - raw total energy (eV/atom) = -3.33
# - calculated volume (Å³ per cell) = 308
# - D(E_F) (states/eV per atom) = 0.514



Record 3
# CaCu11 (PBE-GGA, relaxed)
data_CaCu11
_cell_length_a 10.041
_cell_length_b 10.041
_cell_length_c 6.559
_cell_angle_alpha 90.00
_cell_angle_beta 90.00
_cell_angle_gamma 90.00
_space_group_name_H-M_alt 'I 41/a m d'
_space_group_IT_number 141
loop_
_space_group_symop_operation_xyz
'x,y,z'
'-x,-y,-z'
'-y+1/4,x+3/4,z+1/4'
'y+1/4,-x+3/4,-z+1/4'
'-x+1/2,-y,z+1/2'
'x+1/2,y,-z+1/2'
'y+1/4,-x+1/4,z+3/4'
'-y+1/4,x+1/4,-z+3/4'
'x,-y,-z'
'-x,y,z'
'-y+1/4,-x+1/4,-z+3/4'
'y+1/4,x+1/4,z+3/4'
'-x+1/2,y,-z+1/2'
'x+1/2,-y,z+1/2'
'y+1/4,x+3/4,-z+1/4'
'-y+1/4,-x+3/4,z+1/4'
'x+1/2,y+1/2,z+1/2'
'-x+1/2,-y+1/2,-z+1/2'
'-y+3/4,x+1/4,z+3/4'
'y+3/4,-x+1/4,-z+3/4'
'-x,-y+1/2,z'
'x,y+1/2,-z'
'y+3/4,-x+3/4,z+1/4'
'-y+3/4,x+3/4,-z+1/4'
'x+1/2,-y+1/2,-z+1/2'
'-x+1/2,y+1/2,z+1/2'
'-y+3/4,-x+3/4,-z+1/4'
'y+3/4,x+3/4,z+1/4'
'-x,y+1/2,-z'
'x,-y+1/2,z'
'y+3/4,x+1/4,-z+3/4'
'-y+3/4,-x+1/4,z+3/4'
loop_
_atom_site_label
_atom_site_fract_x
_atom_site_fract_y
_atom_site_fract_z
Ca1 0.000 0.250 0.375
Cu1 0.000 0.000 0.000
Cu2 0.000 0.250 0.875
Cu3 0.123 0.044 0.683
# - total magnetic moment (μB/f.u.) = 0.00
# - raw total energy (eV/atom) = -3.96
# - calculated volume (Å³ per cell) = 661
# - D(E_F) (states/eV per atom) = 0.419